Here is an optimized crystal structure of Cd2CoBr from Alexandria. Energies are from PBE.

Output
Density (g cm⁻³): 7.05
Relative energy among the computed polymorphs (meV per atom): 101.3
Symmetry: No. 166
Formation energy from raw total energies (kJ/mol of atoms): 20.5
Total moment (μB per formula unit): 1.64

Lattice parameters (Å, degrees): 8.5340 8.5340 8.5340 23.35 23.35 23.35
Last column: nearest neighbours and their distance in Å.
Sites, in units of the cell vectors:
Cd: 0.9914 0.9914 0.9914  3 Co 2.73, 3 Br 3.03
Cd: 0.5086 0.5086 0.5086  3 Co 2.73, 3 Br 3.03
Br: 0.7500 0.7500 0.7500  6 Cd 3.03
Co: 0.2500 0.2500 0.2500  6 Cd 2.73

***

Here is an optimized crystal structure of RbGe2Sb2 from Alexandria. Energies are from PBE.

Output
Density (g cm⁻³): 4.57
Relative energy among the computed polymorphs (meV per atom): 54.0
Symmetry: No. 2
Formation energy from raw total energies (kJ/mol of atoms): -3.2
Total moment (μB per formula unit): 0.00

Lattice parameters (Å, degrees): 8.0574 8.2621 8.1750 67.33 51.21 54.47
Last column: nearest neighbours and their distance in Å.
Sites, in units of the cell vectors:
Ge: 0.5903 0.4407 0.6755  3 Sb 2.77-2.80
Ge: 0.2394 0.0368 0.2357  4 Sb 2.76-2.92
Ge: 0.4097 0.5593 0.3245  3 Sb 2.77-2.80
Ge: 0.7606 0.9632 0.7643  4 Sb 2.76-2.92
Rb: 0.0939 0.2789 0.7777  3 Ge 3.74-4.05, 6 Sb 3.83-3.96
Rb: 0.9061 0.7211 0.2223  3 Ge 3.74-4.05, 6 Sb 3.83-3.96
Sb: 0.2529 0.8003 0.6044  4 Ge 2.79-2.92
Sb: 0.7471 0.1997 0.3956  4 Ge 2.79-2.92
Sb: 0.4967 0.7640 0.9430  3 Ge 2.76-2.77
Sb: 0.5033 0.2360 0.0570  3 Ge 2.76-2.77

***

Here is an optimized crystal structure of Ce2HfInN5 from Alexandria. Energies are from PBE.

Output
Density (g cm⁻³): 8.10
Symmetry: No. 36
Formation energy from raw total energies (kJ/mol of atoms): -98.6
Total moment (μB per formula unit): 0.00

Lattice parameters (Å, degrees): 3.4255 7.1964 11.0226 90.00 90.00 103.77
Last column: nearest neighbours and their distance in Å.
Sites, in units of the cell vectors:
N: 0.6293 0.2585 0.5650  1 Hf 2.11, 1 In 2.19, 2 Ce 2.32
N: 0.3707 0.7415 0.0650  1 Hf 2.11, 1 In 2.19, 2 Ce 2.32
N: 0.4899 0.9798 0.7799  1 In 2.18, 2 Ce 2.39
N: 0.5101 0.0202 0.2799  1 In 2.18, 2 Ce 2.39
N: 0.2737 0.5474 0.3679  2 Hf 2.20, 1 Ce 2.44
N: 0.7263 0.4526 0.8679  2 Hf 2.20, 1 Ce 2.44
N: 0.2815 0.5629 0.6444  3 Ce 2.24-2.42, 2 Hf 2.40
N: 0.0810 0.1620 0.0437  2 In 2.11, 1 Hf 2.17, 1 Ce 2.34
N: 0.9190 0.8380 0.5437  2 In 2.11, 1 Hf 2.17, 1 Ce 2.34
N: 0.7185 0.4371 0.1444  3 Ce 2.24-2.42, 2 Hf 2.40
Hf: 0.2309 0.4618 0.9932  4 N 2.11-2.20
Hf: 0.7691 0.5382 0.4932  4 N 2.11-2.20
Ce: 0.8710 0.7420 0.2065  3 N 2.24-2.32
Ce: 0.8731 0.7463 0.7476  6 N 2.34-2.44
Ce: 0.1269 0.2537 0.2476  6 N 2.34-2.44
Ce: 0.1290 0.2580 0.7065  3 N 2.24-2.32
In: 0.4892 0.9784 0.4757  4 N 2.11-2.19
In: 0.5108 0.0216 0.9757  4 N 2.11-2.19

***

Here is an optimized crystal structure of Ti3GaSb from Alexandria. Energies are from PBE.

Output
Density (g cm⁻³): 6.04
Relative energy among the computed polymorphs (meV per atom): 0.0
Symmetry: No. 11
Formation energy from raw total energies (kJ/mol of atoms): -36.8
Total moment (μB per formula unit): 0.00

Lattice parameters (Å, degrees): 3.7616 6.1984 8.0051 80.56 90.00 90.00
Last column: nearest neighbours and their distance in Å.
Sites, in units of the cell vectors:
Ti: 0.2500 0.7068 0.9592  3 Ga 2.67-2.71, 3 Sb 2.83-2.96
Ti: 0.7500 0.6344 0.3871  3 Ga 2.65-2.89, 5 Ti 2.88-2.94, 2 Sb 2.94
Ti: 0.7500 0.2932 0.0408  3 Ga 2.67-2.71, 3 Sb 2.83-2.96
Ti: 0.2500 0.3656 0.6129  3 Ga 2.65-2.89, 5 Ti 2.88-2.94, 2 Sb 2.94
Ti: 0.7500 0.1549 0.4191  2 Ga 2.72, 6 Ti 2.84-3.01, 3 Sb 2.85-2.87
Ti: 0.2500 0.8451 0.5809  2 Ga 2.72, 6 Ti 2.84-3.01, 3 Sb 2.85-2.87
Ga: 0.7500 0.5803 0.7523  8 Ti 2.65-2.89, 1 Sb 2.87
Ga: 0.2500 0.4197 0.2477  8 Ti 2.65-2.89, 1 Sb 2.87
Sb: 0.7500 0.0355 0.7806  8 Ti 2.83-2.96, 1 Ga 2.87
Sb: 0.2500 0.9645 0.2194  8 Ti 2.83-2.96, 1 Ga 2.87

***

Here is an optimized crystal structure of TmZnPtRh from Alexandria. Energies are from PBE.

Output
Formation enthalpy at 0 K (eV per atom): -0.825
Density (g cm⁻³): 13.05
Relative energy among the computed polymorphs (meV per atom): 53.5
Symmetry: No. 216
Total moment (μB per formula unit): 0.00

Lattice parameters (Å, degrees): 4.5751 4.5751 4.5751 60.00 60.00 60.00
Last column: nearest neighbours and their distance in Å.
Sites, in units of the cell vectors:
Zn: 0.5000 0.5000 0.5000  4 Rh 2.80, 4 Pt 2.80
Pt: 0.7500 0.7500 0.7500  4 Tm 2.80, 4 Zn 2.80
Tm: 0.0000 0.0000 0.0000  4 Rh 2.80, 4 Pt 2.80
Rh: 0.2500 0.2500 0.2500  4 Tm 2.80, 4 Zn 2.80

***

Here is an optimized crystal structure of InCoBiRh2 from Alexandria. Energies are from PBE.

Output
Formation enthalpy at 0 K (eV per atom): 0.573
Density (g cm⁻³): 9.54
Symmetry: No. 123
Total moment (μB per formula unit): 2.84

Lattice parameters (Å, degrees): 4.6523 4.7338 4.6523 90.00 90.00 90.00
Last column: nearest neighbours and their distance in Å.
Sites, in units of the cell vectors:
Rh: 0.0000 0.0000 0.5000  2 Co 2.33
Rh: 0.5000 0.0000 0.0000  2 Co 2.33
Co: 0.0000 0.0000 0.0000  4 Rh 2.33, 2 In 2.37
Bi: 0.5000 0.5000 0.5000  4 In 3.29, 8 Rh 3.32
In: 0.0000 0.5000 0.0000  2 Co 2.37

***

Here is an optimized crystal structure of AlSb2Pb from Alexandria. Energies are from PBE.

Output
Density (g cm⁻³): 6.59
Relative energy among the computed polymorphs (meV per atom): 68.4
Symmetry: No. 99
Formation energy from raw total energies (kJ/mol of atoms): 10.9
Total moment (μB per formula unit): 0.00

Lattice parameters (Å, degrees): 4.0866 4.0881 7.2091 90.00 90.00 90.00
Last column: nearest neighbours and their distance in Å.
Sites, in units of the cell vectors:
Al: 0.0000 0.0000 0.3366  5 Sb 2.73-2.92
Sb: 0.0000 0.0000 0.9580  1 Al 2.73
Sb: 0.5000 0.5000 0.3939  4 Al 2.92, 1 Pb 3.01
Pb: 0.5000 0.5000 0.8115  5 Sb 3.01-3.08

***

Here is an optimized crystal structure of La12Pr3Er from Alexandria. Energies are from PBE.

Output
Formation enthalpy at 0 K (eV per atom): 0.006
Density (g cm⁻³): 6.49
Symmetry: No. 123
Total moment (μB per formula unit): 0.00

Lattice parameters (Å, degrees): 5.2429 5.2429 20.9955 90.00 90.00 90.00
Last column: nearest neighbours and their distance in Å.
Sites, in units of the cell vectors:
La: 0.0000 0.5000 0.6258  8 La 3.71-3.72, 4 Pr 3.72
La: 0.5000 0.5000 0.5000  4 Pr 3.71, 8 La 3.72
La: 0.5000 0.0000 0.8769  8 La 3.68-3.72, 2 Er 3.68, 2 Pr 3.72
La: 0.5000 0.0000 0.6258  8 La 3.71-3.72, 4 Pr 3.72
La: 0.5000 0.0000 0.1231  8 La 3.68-3.72, 2 Er 3.68, 2 Pr 3.72
La: 0.5000 0.5000 0.7512  4 Pr 3.71, 8 La 3.72
La: 0.5000 0.0000 0.3742  8 La 3.71-3.72, 4 Pr 3.72
La: 0.0000 0.5000 0.3742  8 La 3.71-3.72, 4 Pr 3.72
La: 0.0000 0.5000 0.1231  8 La 3.68-3.72, 2 Er 3.68, 2 Pr 3.72
La: 0.5000 0.5000 0.0000  8 La 3.68, 4 Er 3.71
La: 0.0000 0.5000 0.8769  2 Er 3.68, 8 La 3.68-3.72, 2 Pr 3.72
La: 0.5000 0.5000 0.2488  4 Pr 3.71, 8 La 3.72
Pr: 0.0000 0.0000 0.5000  12 La 3.71-3.72
Pr: 0.0000 0.0000 0.2487  12 La 3.71-3.72
Pr: 0.0000 0.0000 0.7513  12 La 3.71-3.72
Er: 0.0000 0.0000 0.0000  12 La 3.68-3.71

***

Here is an optimized crystal structure of LiMn2Co from Alexandria. Energies are from PBE.

Output
Formation enthalpy at 0 K (eV per atom): 0.277
Density (g cm⁻³): 6.50
Relative energy among the computed polymorphs (meV per atom): 97.8
Symmetry: No. 12
Total moment (μB per formula unit): 4.44

Lattice parameters (Å, degrees): 4.6112 4.8286 2.3599 79.26 83.01 116.60
Last column: nearest neighbours and their distance in Å.
Sites, in units of the cell vectors:
Li: 0.5000 0.5000 0.0000  2 Li 2.36, 2 Co 2.46, 4 Mn 2.48
Mn: 0.5000 0.0000 0.5000  4 Mn 2.36-2.46, 2 Li 2.48, 2 Co 2.48
Mn: 0.0000 0.0000 0.0000  4 Mn 2.36-2.46, 2 Co 2.48, 2 Li 2.48
Co: 0.0000 0.5000 0.5000  2 Co 2.36, 2 Li 2.46, 4 Mn 2.48

***

Here is an optimized crystal structure of Li2ScPb3 from Alexandria. Energies are from PBE.

Output
Formation enthalpy at 0 K (eV per atom): -0.284
Density (g cm⁻³): 8.09
Relative energy among the computed polymorphs (meV per atom): 6.4
Symmetry: No. 123
Total moment (μB per formula unit): 0.00

Lattice parameters (Å, degrees): 3.4776 3.4776 11.5540 90.00 90.00 90.00
Last column: nearest neighbours and their distance in Å.
Sites, in units of the cell vectors:
Pb: 0.0000 0.0000 0.3199  4 Li 3.06, 4 Sc 3.22
Pb: 0.0000 0.0000 0.6801  4 Li 3.06, 4 Sc 3.22
Pb: 0.0000 0.0000 0.0000  8 Li 3.09
Li: 0.5000 0.5000 0.1625  8 Pb 3.06-3.09
Li: 0.5000 0.5000 0.8375  8 Pb 3.06-3.09
Sc: 0.5000 0.5000 0.5000  8 Pb 3.22, 4 Sc 3.48

***

Here is an optimized crystal structure of TeRhSe2 from Alexandria. Energies are from PBE.

Output
Density (g cm⁻³): 8.21
Symmetry: No. 119
Formation energy from raw total energies (kJ/mol of atoms): 39.5
Total moment (μB per formula unit): 0.00

Lattice parameters (Å, degrees): 4.7352 4.7352 4.7352 116.54 116.54 96.10
Last column: nearest neighbours and their distance in Å.
Sites, in units of the cell vectors:
Rh: 0.7500 0.2500 0.5000  6 Se 2.95-3.17, 4 Te 2.95
Se: 0.2500 0.7500 0.5000  4 Se 2.95, 4 Te 2.95, 2 Rh 3.17
Se: 0.0000 0.0000 0.0000  4 Rh 2.95, 4 Se 2.95, 2 Te 3.17
Te: 0.5000 0.5000 0.0000  6 Se 2.95-3.17, 4 Rh 2.95

***

Here is an optimized crystal structure of PmPrAgRu from Alexandria. Energies are from PBE.

Output
Formation enthalpy at 0 K (eV per atom): -0.196
Density (g cm⁻³): 8.65
Relative energy among the computed polymorphs (meV per atom): 49.1
Symmetry: No. 216
Total moment (μB per formula unit): 0.00

Lattice parameters (Å, degrees): 5.1226 5.1226 5.1226 60.00 60.00 60.00
Last column: nearest neighbours and their distance in Å.
Sites, in units of the cell vectors:
Ru: 0.2500 0.2500 0.2500  4 Pr 3.14, 4 Pm 3.14
Ag: 0.7500 0.7500 0.7500  4 Pm 3.14, 4 Pr 3.14
Pm: 0.5000 0.5000 0.5000  4 Ru 3.14, 4 Ag 3.14
Pr: 0.0000 0.0000 0.0000  4 Ag 3.14, 4 Ru 3.14